Entry 1:
PBE Li3CdPb4, optimized geometry; magnetization = 0.00 μB per formula unit; ΔH_f (0 K) = -0.179 eV/atom; DOS(E_F) = 0.223 states/eV/atom
1.0
3.9587 0.0000 0.0000
0.0000 4.9883 0.0000
0.0000 0.0000 9.8188
Li Cd Pb
3 1 4
Direct
0.0000 0.0000 0.0000
0.0000 0.5000 0.2499
0.0000 0.5000 0.7501
0.0000 0.0000 0.5000
0.5000 0.0000 0.2404
0.5000 0.0000 0.7596
0.5000 0.5000 0.0000
0.5000 0.5000 0.5000

***

Entry 2:
PBE Er5Sb2Ru, optimized geometry; magnetization = 0.00 μB per formula unit; DOS(E_F) = 0.736 states/eV/atom; E_form (uncorrected) = -0.3168 eV per atom
1.0
2.8056 -6.9712 0.0000
2.8056 6.9712 0.0000
0.0000 0.0000 14.6748
Er Sb Ru
10 4 2
Direct
0.0479 0.9521 0.6293
0.0479 0.9521 0.8707
0.2845 0.7155 0.2500
0.3029 0.6971 0.6099
0.3029 0.6971 0.8901
0.6971 0.3029 0.1099
0.6971 0.3029 0.3901
0.7155 0.2845 0.7500
0.9521 0.0479 0.1293
0.9521 0.0479 0.3707
0.1530 0.8470 0.0509
0.1530 0.8470 0.4491
0.8470 0.1530 0.5509
0.8470 0.1530 0.9491
0.1862 0.8138 0.7500
0.8138 0.1862 0.2500

***

Entry 3:
PBE NpNiGe2Ru, optimized geometry; magnetization = 4.21 μB per formula unit; ΔH_f (0 K) = -0.312 eV/atom; DOS(E_F) = 2.173 states/eV/atom
1.0
-2.0118 2.0118 5.2770
2.0118 -2.0118 5.2770
2.0118 2.0118 -5.2770
Np Ni Ge Ru
1 1 2 1
Direct
0.0000 0.0000 0.0000
0.7500 0.2500 0.5000
0.3779 0.3779 0.0000
0.6221 0.6221 0.0000
0.2500 0.7500 0.5000

***

Entry 4:
PBE AcPrGaHg, optimized geometry; magnetization = 0.01 μB per formula unit; ΔH_f (0 K) = -0.445 eV/atom; DOS(E_F) = 1.409 states/eV/atom
1.0
0.0000 3.9062 3.9062
3.9062 0.0000 3.9062
3.9062 3.9062 0.0000
Ac Pr Ga Hg
1 1 1 1
Direct
0.0000 0.0000 0.0000
0.5000 0.5000 0.5000
0.7500 0.7500 0.7500
0.2500 0.2500 0.2500

***

Entry 5:
PBE MgCdGaAg, optimized geometry; magnetization = 0.00 μB per formula unit; ΔH_f (0 K) = -0.071 eV/atom; DOS(E_F) = 0.267 states/eV/atom; relative energy among the computed polymorphs = 0.000 eV per atom
1.0
4.8461 -2.1139 0.0000
4.8461 2.1139 0.0000
-1.8362 0.0000 3.8074
Mg Cd Ga Ag
1 1 1 1
Direct
0.0000 0.0000 0.0000
0.2505 0.2505 0.7512
0.5003 0.5003 0.5000
0.7504 0.7504 0.2497

***

Entry 6:
PBE Fe2NiCl, optimized geometry; magnetization = 6.76 μB per formula unit; DOS(E_F) = 1.186 states/eV/atom; relative energy among the computed polymorphs = 0.425 eV per atom; E_form (uncorrected) = 0.5543 eV per atom
1.0
2.9434 0.0000 0.0000
0.0000 4.1866 0.0000
0.0000 0.0000 4.3153
Fe Ni Cl
2 1 1
Direct
0.0000 0.0000 0.0000
0.5000 0.5000 0.0000
0.0000 0.5000 0.5000
0.5000 0.0000 0.5000

***

What is the formula in the second record? Er5Sb2Ru

***

What is the formula in the fifth record? MgCdGaAg

***

Which value of DOS(E_F) does entry 2 give? 0.736 states/eV/atom